3
Lattice="-2.379 2.382 -0.962 -2.030 -2.547 -1.286 -1.045 -0.570 7.544" Properties=species:S:1:pos:R:3 comment="TbGdSc PBE optimized geometry" e_form_mev_per_atom=48 polymorph_energy_kj_per_mol_atoms=0.0 sg=I4mm dos_ef_per_ev_cell=4.9 m_tot_mub_per_fu=7.3 e_tot_ev_per_atom=-8.30 pbc="T T T"
Tb -0.043 -0.009 0.084
Gd -2.131 -0.428 4.210
Sc -3.281 -0.298 1.001

---

4
Lattice="-0.166 3.843 -3.052 -3.811 -2.062 -2.389 -3.151 2.288 3.052" Properties=species:S:1:pos:R:3 comment="TbGd2Sc PBE optimized geometry" e_form_mev_per_atom=47 polymorph_energy_kj_per_mol_atoms=0.0 sg=P4/mmm dos_ef_per_ev_cell=7.3 m_tot_mub_per_fu=14.5 e_tot_ev_per_atom=-9.73 pbc="T T T"
Sc -0.083 1.922 -1.526
Gd -1.905 -1.031 -1.194
Gd -1.576 1.144 1.526
Tb -3.564 2.034 -1.194

---

4
Lattice="-0.682 4.406 -3.255 1.473 -0.240 -5.315 -3.869 -0.050 -3.937" Properties=species:S:1:pos:R:3 comment="TbGdTmSc PBE optimized geometry" e_form_mev_per_atom=101 sg=F-43m dos_ef_per_ev_cell=6.9 m_tot_mub_per_fu=7.3 e_tot_ev_per_atom=-7.28 pbc="T T T"
Sc -1.540 2.058 -6.253
Tm 0.000 0.000 0.000
Gd -2.309 3.087 -9.380
Tb -0.770 1.029 -3.127

---

4
Lattice="5.377 0.000 0.000 2.689 4.657 0.000 2.689 1.552 4.390" Properties=species:S:1:pos:R:3 comment="TbGdZrSc PBE optimized geometry" e_form_mev_per_atom=170 sg=F-43m dos_ef_per_ev_cell=6.4 m_tot_mub_per_fu=8.8 e_tot_ev_per_atom=-8.23 pbc="T T T"
Tb 5.377 3.105 2.195
Sc 8.066 4.657 3.293
Zr 2.689 1.552 1.098
Gd 0.000 0.000 0.000

---

6
Lattice="5.346 0.000 0.000 2.673 4.629 0.000 2.673 1.543 4.365" Properties=species:S:1:pos:R:3 comment="GdScTc4 PBE optimized geometry" e_form_mev_per_atom=-148 sg=F-43m dos_ef_per_ev_cell=7.7 m_tot_mub_per_fu=6.3 e_tot_ev_per_atom=-10.46 pbc="T T T"
Tc 5.346 3.086 0.542
Tc 6.685 3.860 2.729
Tc 4.006 3.860 2.729
Tc 5.346 1.540 2.729
Gd 2.673 1.543 1.091
Sc 0.000 0.000 0.000

---

5
Lattice="5.070 0.000 0.000 0.000 5.070 0.000 0.000 0.000 5.070" Properties=species:S:1:pos:R:3 comment="GdSc3Tc PBE optimized geometry" e_form_mev_per_atom=28 sg=Pm-3m dos_ef_per_ev_cell=6.6 m_tot_mub_per_fu=7.3 e_tot_ev_per_atom=-8.66 pbc="T T T"
Gd 2.535 2.535 2.535
Sc 0.000 0.000 2.535
Sc 0.000 2.535 0.000
Sc 2.535 0.000 0.000
Tc 0.000 0.000 0.000